1.
# Ac3Pd2Pt3 (GGA-PBE, relaxed)
data_Ac3Pd2Pt3
_chemical_formula_sum 'Ac6 Pd4 Pt6'
_space_group_name_H-M_alt 'P 1'
_space_group_IT_number 1
_cell_length_a 6.0860
_cell_length_b 9.0352
_cell_length_c 9.0352
_cell_angle_alpha 120.00
_cell_angle_beta 90.00
_cell_angle_gamma 90.00
loop_
_space_group_symop_operation_xyz
'x,y,z'
loop_
_atom_site_label
_atom_site_type_symbol
_atom_site_fract_x
_atom_site_fract_y
_atom_site_fract_z
Ac1 Ac 0.7500 0.3366 0.0000
Ac2 Ac 0.7500 0.6634 0.6634
Ac3 Ac 0.7500 0.0000 0.3366
Ac4 Ac 0.2500 0.6634 0.0000
Ac5 Ac 0.2500 0.3366 0.3366
Ac6 Ac 0.2500 0.0000 0.6634
Pd1 Pd 0.0000 0.3333 0.6667
Pd2 Pd 0.5000 0.6667 0.3333
Pd3 Pd 0.0000 0.6667 0.3333
Pd4 Pd 0.5000 0.3333 0.6667
Pt1 Pt 0.7500 0.6626 0.0000
Pt2 Pt 0.7500 0.3374 0.3374
Pt3 Pt 0.7500 0.0000 0.6626
Pt4 Pt 0.2500 0.3374 0.0000
Pt5 Pt 0.2500 0.6626 0.6626
Pt6 Pt 0.2500 0.0000 0.3374
# - SG = P6_3/mcm

2.
# Ac2Pd4Pt3 (GGA-PBE, relaxed)
data_Ac2Pd4Pt3
_chemical_formula_sum 'Ac2 Pd4 Pt3'
_space_group_name_H-M_alt 'P 1'
_space_group_IT_number 1
_cell_length_a 5.3899
_cell_length_b 5.4875
_cell_length_c 7.5325
_cell_angle_alpha 79.88
_cell_angle_beta 69.04
_cell_angle_gamma 60.59
loop_
_space_group_symop_operation_xyz
'x,y,z'
loop_
_atom_site_label
_atom_site_type_symbol
_atom_site_fract_x
_atom_site_fract_y
_atom_site_fract_z
Ac1 Ac 0.6355 0.0000 0.7291
Ac2 Ac 0.3645 0.0000 0.2709
Pd1 Pd 0.0019 0.6577 0.3385
Pd2 Pd 0.6596 0.3423 0.3385
Pd3 Pd 0.9981 0.3423 0.6615
Pd4 Pd 0.3404 0.6577 0.6615
Pt1 Pt 0.0000 0.5000 0.0000
Pt2 Pt 0.0000 0.0000 0.0000
Pt3 Pt 0.5000 0.5000 0.0000
# - SG = Fmmm
# - energy above the lowest structure with this stoichiometry (eV per atom) = 0.000

Formation energy, record by record: -0.835; -0.760 eV/atom